Entry 1:
## SrCdIn2Rh (PBE)

Data for an optimized crystal structure of SrCdIn2Rh.

POSCAR file:
```
SrCdIn2Rh
1.0
5.1885 0.0000 0.0000
0.0000 5.1885 0.0000
0.0000 0.0000 5.6758
Rh In Cd Sr
1 2 1 1
Cartesian
0.0000 0.0000 0.0000
2.5942 0.0000 0.0000
0.0000 2.5942 0.0000
2.5942 2.5942 2.8379
0.0000 0.0000 2.8379
```

Calculated values
Uncorrected energy ... -3.33 eV per atom
Symmetry ... P4/mmm (123)
Volume ... 152.8 Å³/f.u.
Offset from the most stable computed form ... 64 meV/atom
Total magnetization ... 0.00 μB/f.u.
ΔH_f (0 K) ... -0.2405 eV per atom

***

Entry 2:
## SrCd2InRh2 (PBE)

Data for an optimized crystal structure of SrCd2InRh2.

POSCAR file:
```
SrCd2InRh2
1.0
4.9818 0.0000 0.0000
0.0000 4.9818 0.0000
0.0000 0.0000 6.1838
Rh Cd In Sr
2 2 1 1
Cartesian
2.4909 0.0000 0.0000
0.0000 2.4909 0.0000
2.4909 2.4909 1.5058
2.4909 2.4909 4.6780
0.0000 0.0000 0.0000
0.0000 0.0000 3.0919
```

Calculated values
Uncorrected energy ... -3.52 eV per atom
Symmetry ... P4/mmm (123)
Volume ... 153.5 Å³/f.u.
Total magnetization ... 0.00 μB/f.u.
ΔH_f (0 K) ... -0.0228 eV per atom

***

Entry 3:
## Sr2Cd6InRh (PBE)

Data for an optimized crystal structure of Sr2Cd6InRh.

POSCAR file:
```
Sr2Cd6InRh
1.0
7.1887 0.0000 0.0000
3.5943 6.2256 0.0000
3.5943 2.0752 12.3833
Cd Sr In Rh
12 4 2 2
Cartesian
7.1887 2.3513 1.1889
9.3426 2.9068 5.1562
8.7467 5.0499 1.1889
7.1887 5.9495 11.1943
7.1887 1.6632 7.2271
9.3426 5.3939 7.2271
5.6306 5.0499 1.1889
5.0347 5.3939 7.2271
5.0347 2.9068 5.1562
8.7467 3.2508 11.1943
7.1887 6.6375 5.1562
5.6306 3.2508 11.1943
3.5943 2.0752 1.9681
3.5943 2.0752 8.4484
10.7830 6.2256 10.4152
10.7830 6.2256 3.9349
7.1887 4.1504 3.4896
7.1887 4.1504 8.8937
0.0000 0.0000 0.0000
7.1887 4.1504 6.1916
```

Calculated values
Uncorrected energy ... -2.10 eV per atom
Symmetry ... R-3m (166)
Volume ... 277.1 Å³/f.u.
Total magnetization ... 0.00 μB/f.u.
ΔH_f (0 K) ... -0.2017 eV per atom

***

Entry 4:
## TiCd2InRh (PBE)

Data for an optimized crystal structure of TiCd2InRh.

POSCAR file:
```
TiCd2InRh
1.0
-2.8061 -3.1638 2.7931
3.7817 -0.2647 3.4996
-2.0027 3.9507 2.4631
In Ti Rh Cd
1 1 1 2
Cartesian
0.0000 0.0000 0.0000
1.8909 -0.1324 1.7498
-0.5135 0.2611 4.3778
-1.0014 1.9753 1.2315
-1.4031 -1.5819 1.3965
```

Calculated values
Uncorrected energy ... -2.74 eV per atom
Symmetry ... P4/mmm (123)
Volume ... 132.5 Å³/f.u.
Total magnetization ... 0.00 μB/f.u.
ΔH_f (0 K) ... 1.2220 eV per atom

***

Entry 5:
## TlCdIn2Rh (PBE)

Data for an optimized crystal structure of TlCdIn2Rh.

POSCAR file:
```
TlCdIn2Rh
1.0
5.1895 0.0000 0.0000
0.0000 5.1895 0.0000
0.0000 0.0000 5.2963
Tl In Rh Cd
1 2 1 1
Cartesian
0.0000 0.0000 2.6481
0.0000 2.5947 0.0000
2.5947 0.0000 0.0000
0.0000 0.0000 0.0000
2.5947 2.5947 2.6481
```

Calculated values
Uncorrected energy ... -3.27 eV per atom
Symmetry ... P4/mmm (123)
Volume ... 142.6 Å³/f.u.
Offset from the most stable computed form ... 45 meV/atom
Total magnetization ... 0.00 μB/f.u.
ΔH_f (0 K) ... -0.0454 eV per atom

***

Entry 6:
## TlCdIn2Rh (PBE)

Data for an optimized crystal structure of TlCdIn2Rh.

POSCAR file:
```
TlCdIn2Rh
1.0
-0.4064 -4.1180 3.0510
3.9496 -2.2021 -2.4462
3.3632 2.2143 3.4367
In Cd Rh Tl
2 1 1 1
Cartesian
1.9748 -1.1011 -1.2231
-0.2032 -2.0590 1.5255
1.6816 1.1072 1.7184
0.0000 0.0000 0.0000
3.4532 -2.0529 2.0208
```

Calculated values
Uncorrected energy ... -3.31 eV per atom
Symmetry ... P4/mmm (123)
Volume ... 139.9 Å³/f.u.
Offset from the most stable computed form ... 0 meV/atom
Total magnetization ... 0.00 μB/f.u.
ΔH_f (0 K) ... -0.0903 eV per atom

***

Entry 7:
## TmCdInRh (PBE)

Data for an optimized crystal structure of TmCdInRh.

POSCAR file:
```
TmCdInRh
1.0
-4.2124 1.7022 -1.7230
-3.9770 -0.0819 2.7906
-1.8355 4.1505 1.7363
Tm Cd Rh In
1 1 1 1
Cartesian
-5.0125 2.8854 1.4019
-7.5187 4.3282 2.1029
-2.5062 1.4427 0.7010
0.0000 0.0000 0.0000
```

Calculated values
Uncorrected energy ... -4.28 eV per atom
Symmetry ... F-43m (216)
Volume ... 81.1 Å³/f.u.
Total magnetization ... 0.00 μB/f.u.
ΔH_f (0 K) ... -0.4101 eV per atom

***

Entry 8:
## Tm5CdIn2Rh2 (PBE)

Data for an optimized crystal structure of Tm5CdIn2Rh2.

POSCAR file:
```
Tm5CdIn2Rh2
1.0
-3.3995 -1.1218 0.7119
4.2223 -9.2741 5.5480
0.1037 5.9909 9.9356
Tm Rh In Cd
10 4 4 2
Cartesian
0.8105 -1.6941 10.5573
0.4114 -5.1980 3.1299
-1.2912 3.4890 8.6889
1.3184 -4.5611 8.4646
2.2177 -7.8941 7.5065
0.1160 -2.7110 5.6382
-0.8286 -1.9941 2.2574
1.7551 -2.4109 13.9380
-1.6479 2.4345 5.3237
-0.3919 0.1560 7.7309
1.5678 -2.6233 3.3528
2.7582 -0.6600 12.1307
3.7034 -5.8455 8.4731
0.6225 2.5623 7.0104
1.4642 1.9235 10.0228
3.5595 -3.6299 11.2771
0.7665 0.3467 4.2064
2.8618 -5.2068 5.4607
0.0000 0.0000 0.0000
2.1630 -1.6416 7.7418
```

Calculated values
Uncorrected energy ... -4.90 eV per atom
Symmetry ... P4/mbm (127)
Volume ... 245.7 Å³/f.u.
Total magnetization ... 0.00 μB/f.u.
ΔH_f (0 K) ... -0.5591 eV per atom

***

Entry 9:
## Tm3CdIn3Rh2 (PBE)

Data for an optimized crystal structure of Tm3CdIn3Rh2.

POSCAR file:
```
Tm3CdIn3Rh2
1.0
3.6233 0.0000 0.0000
0.0000 7.9210 0.0000
0.0000 -3.9605 6.8598
Tm Rh In Cd
3 2 3 1
Cartesian
0.0000 -1.5911 2.7558
0.0000 2.3694 4.1039
0.0000 3.1822 0.0000
1.8116 0.0000 4.5732
1.8116 3.9605 2.2866
1.8116 1.1313 1.9594
1.8116 5.6585 0.0000
1.8116 -2.8292 4.9004
0.0000 0.0000 0.0000
```

Calculated values
Uncorrected energy ... -4.73 eV per atom
Symmetry ... P-62m (189)
Volume ... 196.9 Å³/f.u.
Total magnetization ... 0.00 μB/f.u.
ΔH_f (0 K) ... -0.5963 eV per atom

***

Entry 10:
## Tm4Cd2InRh (PBE)

Data for an optimized crystal structure of Tm4Cd2InRh.

POSCAR file:
```
Tm4Cd2InRh
1.0
-4.1829 0.3407 2.9606
-0.8641 -3.5197 3.6391
2.5452 3.5316 7.6445
Tm Rh Cd In
4 1 2 1
Cartesian
-3.3800 -1.3684 8.7467
-2.7075 -1.4056 5.2461
0.2056 1.7582 8.9979
0.8781 1.7211 5.4974
-1.2509 0.1763 7.1220
-1.7954 0.3525 10.7875
-0.7065 0.0001 3.4566
0.0000 0.0000 0.0000
```

Calculated values
Uncorrected energy ... -4.22 eV per atom
Symmetry ... R-3m (166)
Volume ... 189.2 Å³/f.u.
Total magnetization ... 0.00 μB/f.u.
ΔH_f (0 K) ... -0.4961 eV per atom

***

Entry 11:
## VCdInRh2 (PBE)

Data for an optimized crystal structure of VCdInRh2.

POSCAR file:
```
VCdInRh2
1.0
-0.8460 4.2916 2.1638
0.1885 -2.2059 4.4489
4.8026 0.8394 0.2128
Rh V In Cd
2 1 1 1
Cartesian
-0.4230 2.1458 1.0819
2.4013 0.4197 0.1064
0.0942 -1.1030 2.2245
0.0000 0.0000 0.0000
2.0726 1.4626 3.4127
```

Calculated values
Uncorrected energy ... -4.31 eV per atom
Symmetry ... P4/mmm (123)
Volume ... 118.3 Å³/f.u.
Total magnetization ... 3.58 μB/f.u.
ΔH_f (0 K) ... 1.1810 eV per atom

***

Entry 12:
## ZnCdIn2Rh (PBE)

Data for an optimized crystal structure of ZnCdIn2Rh.

POSCAR file:
```
ZnCdIn2Rh
1.0
-5.0386 -1.0502 0.3693
0.2906 -2.8932 -4.2628
1.0182 -3.9243 2.7329
In Cd Zn Rh
2 1 1 1
Cartesian
-2.5193 -0.5251 0.1846
0.1453 -1.4466 -2.1314
-1.8649 -3.9339 -0.5803
0.5091 -1.9622 1.3664
0.0000 0.0000 0.0000
```

Calculated values
Uncorrected energy ... -3.02 eV per atom
Symmetry ... P4/mmm (123)
Volume ... 130.2 Å³/f.u.
Total magnetization ... 0.00 μB/f.u.
ΔH_f (0 K) ... -0.0162 eV per atom